[1]
Computed, not measured: a relaxed structure of CaTbGdTm at the GGA-PBE level of DFT.

Computed properties:
E_form in meV/atom: 147

Cell and atoms, written as CIF:
```
data_CaTbGdTm
_chemical_formula_sum 'Ca4 Tb4 Gd4 Tm4'
_cell_length_a 8.110
_cell_length_b 8.110
_cell_length_c 8.110
_cell_angle_alpha 90.00
_cell_angle_beta 90.00
_cell_angle_gamma 90.00
_symmetry_space_group_name_H-M 'F -4 3 m'
_symmetry_Int_Tables_number 216
_symmetry_space_group_name_Hall 'F -4 2 3'
loop_
_atom_site_label
_atom_site_type_symbol
_atom_site_fract_x
_atom_site_fract_y
_atom_site_fract_z
Ca1 Ca 0.000 0.000 0.000
Tb1 Tb 0.250 0.250 0.750
Gd1 Gd 0.250 0.250 0.250
Tm1 Tm 0.000 0.000 0.500
```

=====

[2]
Computed, not measured: a relaxed structure of Dy2Y9Tm at the GGA-PBE level of DFT.

Computed properties:
E_form in meV/atom: 26

Cell and atoms, written as CIF:
```
data_Dy2Y9Tm
_chemical_formula_sum 'Dy2 Y9 Tm1'
_cell_length_a 5.037
_cell_length_b 5.037
_cell_length_c 15.102
_cell_angle_alpha 90.00
_cell_angle_beta 90.00
_cell_angle_gamma 90.00
_symmetry_space_group_name_H-M 'P 4/m m m'
_symmetry_Int_Tables_number 123
_symmetry_space_group_name_Hall '-P 4 2'
loop_
_atom_site_label
_atom_site_type_symbol
_atom_site_fract_x
_atom_site_fract_y
_atom_site_fract_z
Dy1 Dy 0.000 0.000 0.167
Y1 Y 0.000 0.500 0.000
Y2 Y 0.000 0.500 0.334
Y3 Y 0.500 0.500 0.167
Y4 Y 0.500 0.500 0.500
Tm1 Tm 0.000 0.000 0.500
```

=====

[3]
Computed, not measured: a relaxed structure of DyCu at the GGA-PBE level of DFT.

Computed properties:
E_form in meV/atom: -253

Cell and atoms, written as CIF:
```
data_DyCu
_chemical_formula_sum 'Dy1 Cu1'
_cell_length_a 3.465
_cell_length_b 3.465
_cell_length_c 3.465
_cell_angle_alpha 90.00
_cell_angle_beta 90.00
_cell_angle_gamma 90.00
_symmetry_space_group_name_H-M 'P m -3 m'
_symmetry_Int_Tables_number 221
_symmetry_space_group_name_Hall '-P 4 2 3'
loop_
_atom_site_label
_atom_site_type_symbol
_atom_site_fract_x
_atom_site_fract_y
_atom_site_fract_z
Dy1 Dy 0.000 0.000 0.000
Cu1 Cu 0.500 0.500 0.500
```

=====

[4]
Computed, not measured: a relaxed structure of SrScPt2 at the GGA-PBE level of DFT.

Computed properties:
ΔE to the lowest computed polymorph in meV/atom: 55.2
E_form in meV/atom: -947

Cell and atoms, written as CIF:
```
data_SrScPt2
_chemical_formula_sum 'Sr3 Sc3 Pt6'
_cell_length_a 4.5356
_cell_length_b 4.5356
_cell_length_c 16.1680
_cell_angle_alpha 90.00
_cell_angle_beta 90.00
_cell_angle_gamma 120.00
_symmetry_space_group_name_H-M 'R -3 m'
_symmetry_Int_Tables_number 166
_symmetry_space_group_name_Hall '-R 3 2"'
loop_
_atom_site_label
_atom_site_type_symbol
_atom_site_fract_x
_atom_site_fract_y
_atom_site_fract_z
Sr1 Sr 0.0000 0.0000 0.0000
Sc1 Sc 0.0000 0.0000 0.5000
Pt1 Pt 0.0000 0.0000 0.2102
```

=====

[5]
Computed, not measured: a relaxed structure of Er3Al3Ga at the GGA-PBE level of DFT.

Computed properties:
E_form in meV/atom: -463

Cell and atoms, written as CIF:
```
data_Er3Al3Ga
_chemical_formula_sum 'Er12 Al12 Ga4'
_cell_length_a 10.769
_cell_length_b 4.402
_cell_length_c 14.174
_cell_angle_alpha 90.00
_cell_angle_beta 109.03
_cell_angle_gamma 90.00
_symmetry_space_group_name_H-M 'C 1 2/m 1'
_symmetry_Int_Tables_number 12
loop_
_symmetry_equiv_pos_as_xyz
'x,y,z'
'-x,-y,-z'
'-x,y,-z'
'x,-y,z'
'x+1/2,y+1/2,z'
'-x+1/2,-y+1/2,-z'
'-x+1/2,y+1/2,-z'
'x+1/2,-y+1/2,z'
loop_
_atom_site_label
_atom_site_type_symbol
_atom_site_fract_x
_atom_site_fract_y
_atom_site_fract_z
Er1 Er 0.031 0.000 0.380
Er2 Er 0.105 0.000 0.923
Er3 Er 0.238 0.000 0.222
Al1 Al 0.025 0.500 0.230
Al2 Al 0.109 0.500 0.075
Al3 Al 0.134 0.500 0.544
Ga1 Ga 0.241 0.500 0.384
```

=====

[6]
Computed, not measured: a relaxed structure of Tm5Tl2Bi2 at the GGA-PBE level of DFT.

Computed properties:
ΔE to the lowest computed polymorph in meV/atom: 0.0
E_form in meV/atom: -532

Cell and atoms, written as CIF:
```
data_Tm5Tl2Bi2
_chemical_formula_sum 'Tm20 Tl8 Bi8'
_cell_length_a 15.599
_cell_length_b 8.128
_cell_length_c 8.138
_cell_angle_alpha 90.00
_cell_angle_beta 90.00
_cell_angle_gamma 90.00
_symmetry_space_group_name_H-M 'C m c e'
_symmetry_Int_Tables_number 64
_symmetry_space_group_name_Hall '-C 2ac 2'
loop_
_atom_site_label
_atom_site_type_symbol
_atom_site_fract_x
_atom_site_fract_y
_atom_site_fract_z
Tm1 Tm 0.000 0.000 0.000
Tm2 Tm 0.132 0.166 0.335
Tl1 Tl 0.000 0.136 0.635
Bi1 Bi 0.206 0.000 0.000
```

=====

[7]
Computed, not measured: a relaxed structure of Nd2UTe5 at the GGA-PBE level of DFT.

Computed properties:
Formation energy from raw total energies in eV per atom: -1.07
ΔE to the lowest computed polymorph in meV/atom: 35.7

Cell and atoms, written as CIF:
```
data_Nd2UTe5
_chemical_formula_sum 'Nd4 U2 Te10'
_cell_length_a 8.703
_cell_length_b 13.698
_cell_length_c 4.417
_cell_angle_alpha 90.00
_cell_angle_beta 90.00
_cell_angle_gamma 90.00
_symmetry_space_group_name_H-M 'P b a m'
_symmetry_Int_Tables_number 55
loop_
_symmetry_equiv_pos_as_xyz
'x,y,z'
'-x,-y,-z'
'-x,-y,z'
'x,y,-z'
'x+1/2,-y+1/2,-z'
'-x+1/2,y+1/2,z'
'-x+1/2,y+1/2,-z'
'x+1/2,-y+1/2,z'
loop_
_atom_site_label
_atom_site_type_symbol
_atom_site_fract_x
_atom_site_fract_y
_atom_site_fract_z
Nd1 Nd 0.029 0.177 0.000
U1 U 0.000 0.500 0.500
Te1 Te 0.000 0.000 0.500
Te2 Te 0.173 0.397 0.000
Te3 Te 0.179 0.696 0.500
```

=====

[8]
Computed, not measured: a relaxed structure of MgNbP2 at the GGA-PBE level of DFT.

Computed properties:
ΔE to the lowest computed polymorph in meV/atom: 0.0
E_form in meV/atom: -602

Cell and atoms, written as CIF:
```
data_MgNbP2
_chemical_formula_sum 'Mg3 Nb3 P6'
_cell_length_a 3.5073
_cell_length_b 3.5073
_cell_length_c 19.6637
_cell_angle_alpha 90.00
_cell_angle_beta 90.00
_cell_angle_gamma 120.00
_symmetry_space_group_name_H-M 'R -3 m'
_symmetry_Int_Tables_number 166
_symmetry_space_group_name_Hall '-R 3 2"'
loop_
_atom_site_label
_atom_site_type_symbol
_atom_site_fract_x
_atom_site_fract_y
_atom_site_fract_z
Mg1 Mg 0.0000 0.0000 0.0000
Nb1 Nb 0.0000 0.0000 0.5000
P1 P 0.0000 0.0000 0.2460
```

=====

[9]
Computed, not measured: a relaxed structure of CaPm12Ho5 at the GGA-PBE level of DFT.

Computed properties:
E_form in meV/atom: 27

Cell and atoms, written as CIF:
```
data_CaPm12Ho5
_chemical_formula_sum 'Ca2 Pm24 Ho10'
_cell_length_a 18.841
_cell_length_b 10.862
_cell_length_c 6.277
_cell_angle_alpha 90.00
_cell_angle_beta 109.34
_cell_angle_gamma 90.00
_symmetry_space_group_name_H-M 'C 1 2/m 1'
_symmetry_Int_Tables_number 12
loop_
_symmetry_equiv_pos_as_xyz
'x,y,z'
'-x,-y,-z'
'-x,y,-z'
'x,-y,z'
'x+1/2,y+1/2,z'
'-x+1/2,-y+1/2,-z'
'-x+1/2,y+1/2,-z'
'x+1/2,-y+1/2,z'
loop_
_atom_site_label
_atom_site_type_symbol
_atom_site_fract_x
_atom_site_fract_y
_atom_site_fract_z
Ca1 Ca 0.000 0.000 0.000
Pm1 Pm 0.000 0.171 0.500
Pm2 Pm 0.000 0.339 0.000
Pm3 Pm 0.166 0.334 0.498
Pm4 Pm 0.169 0.168 0.002
Ho1 Ho 0.000 0.500 0.500
Ho2 Ho 0.167 0.500 0.996
Ho3 Ho 0.169 0.000 0.511
```

=====

[10]
Computed, not measured: a relaxed structure of ZrTiCrRe at the GGA-PBE level of DFT.

Computed properties:
E_form in meV/atom: -72

Cell and atoms, written as CIF:
```
data_ZrTiCrRe
_chemical_formula_sum 'Zr4 Ti4 Cr4 Re4'
_cell_length_a 6.422
_cell_length_b 6.422
_cell_length_c 6.422
_cell_angle_alpha 90.00
_cell_angle_beta 90.00
_cell_angle_gamma 90.00
_symmetry_space_group_name_H-M 'F -4 3 m'
_symmetry_Int_Tables_number 216
_symmetry_space_group_name_Hall 'F -4 2 3'
loop_
_atom_site_label
_atom_site_type_symbol
_atom_site_fract_x
_atom_site_fract_y
_atom_site_fract_z
Zr1 Zr 0.000 0.000 0.000
Ti1 Ti 0.000 0.000 0.500
Cr1 Cr 0.250 0.250 0.750
Re1 Re 0.250 0.250 0.250
```

=====

[11]
Computed, not measured: a relaxed structure of DyTmPd at the GGA-PBE level of DFT.

Computed properties:
ΔE to the lowest computed polymorph in meV/atom: 63.6
E_form in meV/atom: -573

Cell and atoms, written as CIF:
```
data_DyTmPd
_chemical_formula_sum 'Dy4 Tm4 Pd4'
_cell_length_a 6.368
_cell_length_b 7.233
_cell_length_c 6.917
_cell_angle_alpha 90.00
_cell_angle_beta 95.05
_cell_angle_gamma 90.00
_symmetry_space_group_name_H-M 'P 1 21/c 1'
_symmetry_Int_Tables_number 14
loop_
_symmetry_equiv_pos_as_xyz
'x,y,z'
'-x,-y,-z'
'-x,y+1/2,-z+1/2'
'x,-y+1/2,z+1/2'
loop_
_atom_site_label
_atom_site_type_symbol
_atom_site_fract_x
_atom_site_fract_y
_atom_site_fract_z
Dy1 Dy 0.084 0.240 0.003
Tm1 Tm 0.400 0.609 0.229
Pd1 Pd 0.206 0.552 0.791
```

=====

[12]
Computed, not measured: a relaxed structure of TaTeS2Cl at the GGA-PBE level of DFT.

Computed properties:
Formation energy from raw total energies in eV per atom: 1.16
ΔE to the lowest computed polymorph in meV/atom: 1299.9

Cell and atoms, written as CIF:
```
data_TaTeS2Cl
_chemical_formula_sum 'Ta1 Te1 S2 Cl1'
_cell_length_a 5.169
_cell_length_b 5.169
_cell_length_c 4.953
_cell_angle_alpha 90.00
_cell_angle_beta 90.00
_cell_angle_gamma 90.00
_symmetry_space_group_name_H-M 'P 4/m m m'
_symmetry_Int_Tables_number 123
_symmetry_space_group_name_Hall '-P 4 2'
loop_
_atom_site_label
_atom_site_type_symbol
_atom_site_fract_x
_atom_site_fract_y
_atom_site_fract_z
Ta1 Ta 0.000 0.000 0.000
Te1 Te 0.500 0.500 0.500
S1 S 0.000 0.500 0.500
Cl1 Cl 0.500 0.500 0.000
```

=====

no.,uncorrected energy (eV per atom)
1,-6.150
2,-5.962
3,-4.602
4,-5.970
5,-4.455
6,-4.404
7,-5.638
8,-6.223
9,-4.523
10,-9.700
11,-5.329
12,-3.862